No. 1
Ni2Pt5Rh2: optimized geometry, PBE.

a b c (Å): 6.5077 6.5239 7.2563
angles (deg): 116.71 90.00 90.00
Sites, in units of the cell vectors:
Pt 0.8275 0.5472 0.7391
Pt 0.0000 0.0000 0.0000
Ni 0.3738 0.1227 0.0000
Pt 0.3275 0.6919 0.7391
Pt 0.6725 0.0472 0.7391
Rh 0.5000 0.2873 0.5746
Pt 0.6725 0.3081 0.2609
Pt 0.1725 0.4528 0.2609
Ni 0.1262 0.6227 0.0000
Pt 0.1725 0.1919 0.7391
Pt 0.3275 0.9528 0.2609
Rh 0.0000 0.7873 0.5746
Pt 0.8275 0.8081 0.2609
Pt 0.5000 0.5000 0.0000
Rh 0.5000 0.7127 0.4254
Rh 0.0000 0.2127 0.4254
Ni 0.6262 0.8773 0.0000
Ni 0.8738 0.3773 0.0000

Volume = 275.2 Å³ per cell
Formation enthalpy at 0 K = 0.261 eV/atom
Fermi-level density of states = 33.9 states/eV/cell


No. 2
SrSiCl: optimized geometry, PBE.

a b c (Å): 5.2763 5.2763 5.2763
angles (deg): 60.00 60.00 60.00
Last column: magnetic moment on the atom in μB.
Sites, in units of the cell vectors:
Cl 0.0000 0.0000 0.0000  0.14
Si 0.5000 0.5000 0.5000  0.72
Sr 0.7500 0.7500 0.7500  0.16

Volume = 103.9 Å³ per cell
Energy relative to the elements, uncorrected = -318 meV/atom


No. 3
LiLuGeAu: optimized geometry, PBE.

a b c (Å): 4.7562 4.7562 4.7562
angles (deg): 60.00 60.00 60.00
Sites, in units of the cell vectors:
Ge 0.2500 0.2500 0.2500
Li 0.0000 0.0000 0.0000
Lu 0.5000 0.5000 0.5000
Au 0.7500 0.7500 0.7500

Volume = 76.1 Å³ per cell
Formation enthalpy at 0 K = -0.637 eV/atom
Fermi-level density of states = 2.5 states/eV/cell


No. 4
CaSiAs2Br: optimized geometry, PBE.

a b c (Å): 5.4937 5.4937 5.3110
angles (deg): 90.00 90.00 90.00
Last column: magnetic moment on the atom in μB.
Sites, in units of the cell vectors:
As 0.5000 0.0000 0.0000  0.18
Ca 0.0000 0.0000 0.0000  0.00
Br 0.0000 0.0000 0.5000  0.09
Si 0.5000 0.5000 0.5000  -0.03
As 0.0000 0.5000 0.0000  0.18

Volume = 160.3 Å³ per cell
Fermi-level density of states = 5.8 states/eV/cell
Energy relative to the elements, uncorrected = 682 meV/atom